(1)
A crystal of Y2ReTc relaxed with PBEsol. Source: the Alexandria database, functional meta-GGA SCAN.

Results
DOS at the Fermi energy	0.803	states/eV per atom
formation energy	446	meV/atom
magnetic moment	0.00	μB/f.u.

Cell lengths 3.3498, 4.5742, 4.9148 Å; angles 90.00, 90.00, 90.00 degrees
With the nearest neighbours (Å) after each atom.
Positions (direct):
Y 0.5000 0.0000 0.5000  4 Tc 2.83, 4 Y 2.97
Tc 0.0000 0.5000 0.5000  4 Y 2.83, 4 Re 2.97
Y 0.0000 0.0000 0.0000  4 Re 2.83, 4 Y 2.97
Re 0.5000 0.5000 0.0000  4 Y 2.83, 4 Tc 2.97

(2)
A crystal of Y4ReTc relaxed with PBEsol. Source: the Alexandria database, functional meta-GGA SCAN.

Results
DOS at the Fermi energy	1.385	states/eV per atom
formation energy	1268	meV/atom
magnetic moment	0.00	μB/f.u.

Cell lengths 5.7218, 5.7218, 5.7218 Å; angles 60.00, 60.00, 60.00 degrees
With the nearest neighbours (Å) after each atom.
Positions (direct):
Y 0.3752 0.3752 0.3752  6 Y 2.86-2.87
Y 0.8744 0.3752 0.3752  6 Y 2.86-2.87
Y 0.3752 0.8744 0.3752  6 Y 2.86-2.87
Y 0.3752 0.3752 0.8744  6 Y 2.86-2.87
Re 0.7500 0.7500 0.7500  12 Y 3.35, 4 Tc 3.50
Tc 0.0000 0.0000 0.0000  12 Y 3.36, 4 Re 3.50

(3)
A crystal of YReTc2 relaxed with PBEsol. Source: the Alexandria database, functional meta-GGA SCAN.

Results
DOS at the Fermi energy	0.409	states/eV per atom
formation energy	237	meV/atom
magnetic moment	0.00	μB/f.u.

Cell lengths 4.5013, 4.5013, 4.5013 Å; angles 60.00, 60.00, 60.00 degrees
With the nearest neighbours (Å) after each atom.
Positions (direct):
Tc 0.0000 0.0000 0.0000  4 Y 2.76, 4 Tc 2.76
Tc 0.7500 0.7500 0.7500  4 Re 2.76, 4 Tc 2.76
Y 0.2500 0.2500 0.2500  4 Re 2.76, 4 Tc 2.76
Re 0.5000 0.5000 0.5000  4 Tc 2.76, 4 Y 2.76

(4)
A crystal of Y2ReTc relaxed with PBEsol. Source: the Alexandria database, functional meta-GGA SCAN.

Results
DOS at the Fermi energy	0.806	states/eV per atom
formation energy	443	meV/atom
magnetic moment	0.00	μB/f.u.

Cell lengths 2.9742, 4.5695, 5.6026 Å; angles 90.00, 98.37, 90.00 degrees
With the nearest neighbours (Å) after each atom.
Positions (direct):
Tc 0.0000 0.5000 0.5000  4 Y 2.82, 2 Re 2.97, 2 Tc 2.97
Y 0.7615 0.0000 0.7492  2 Tc 2.82, 2 Re 2.85, 4 Y 2.96-2.99
Re 0.5000 0.5000 0.0000  4 Y 2.85, 2 Tc 2.97, 2 Re 2.97
Y 0.2385 0.0000 0.2508  2 Tc 2.82, 2 Re 2.85, 4 Y 2.96-2.99

(5)
A crystal of YReTc2 relaxed with PBEsol. Source: the Alexandria database, functional meta-GGA SCAN.

Results
DOS at the Fermi energy	0.477	states/eV per atom
formation energy	84	meV/atom
magnetic moment	0.00	μB/f.u.

Cell lengths 3.1277, 3.1277, 6.8141 Å; angles 90.00, 90.00, 90.00 degrees
With the nearest neighbours (Å) after each atom.
Positions (direct):
Y 0.5000 0.5000 0.0000  8 Tc 2.94, 4 Y 3.13
Re 0.5000 0.5000 0.5000  8 Tc 2.66
Tc 0.0000 0.0000 0.2842  4 Re 2.66, 4 Y 2.94, 1 Tc 2.94
Tc 0.0000 0.0000 0.7158  4 Re 2.66, 4 Y 2.94, 1 Tc 2.94

(6)
A crystal of Zn2ReTc relaxed with PBEsol. Source: the Alexandria database, functional meta-GGA SCAN.

Results
DOS at the Fermi energy	0.385	states/eV per atom
formation energy	12	meV/atom
magnetic moment	0.00	μB/f.u.

Cell lengths 2.7355, 2.7355, 8.9233 Å; angles 81.18, 81.18, 60.00 degrees
With the nearest neighbours (Å) after each atom.
Positions (direct):
Zn 0.9988 0.9988 0.0036  3 Tc 2.73, 9 Zn 2.74
Tc 0.2476 0.2476 0.2572  3 Re 2.59, 3 Zn 2.73, 6 Tc 2.74
Zn 0.7507 0.7507 0.7480  9 Zn 2.74, 3 Re 2.75
Re 0.5029 0.5029 0.4913  3 Tc 2.59, 6 Re 2.74, 3 Zn 2.75

The calculation returns the following energy values, one per record and in order: -160.06, -209.92, -168.11, -160.07, -168.72, -133.14 eV/f.u..